Entry 1:
Sr3MgTa2O9 | Alexandria | PBE-GGA | relaxed; ΔE_f (raw) = -3.019 eV/atom; total magnetic moment = 0.00 μB per cell; DOS(E_F) = 0.00 states/eV per atom; E = -8.017 eV/atom
1.0
5.7130 0.0000 0.0000
-2.8565 4.9476 0.0000
0.0000 0.0000 7.0247
Sr Mg Ta O
3 1 2 9
direct
0.0000 0.0000 0.0000 Sr
0.3333 0.6667 0.6629 Sr
0.6667 0.3333 0.3371 Sr
0.0000 0.0000 0.5000 Mg
0.3333 0.6667 0.1787 Ta
0.6667 0.3333 0.8213 Ta
0.0000 0.5000 0.0000 O
0.1693 0.3385 0.3277 O
0.1693 0.8307 0.3277 O
0.3385 0.1693 0.6723 O
0.5000 0.0000 0.0000 O
0.5000 0.5000 0.0000 O
0.6615 0.8307 0.3277 O
0.8307 0.1693 0.6723 O
0.8307 0.6615 0.6723 O

---

Entry 2:
BeWCl2 | Alexandria | PBE-GGA | relaxed; ΔE_f (raw) = -0.020 eV/atom; total magnetic moment = 0.59 μB per cell; DOS(E_F) = 0.45 states/eV per atom; distance to the lowest polymorph of the same formula = 159.3 meV/atom; E = -5.113 eV/atom
1.0
1.4684 -2.8092 0.0000
1.4684 2.8092 0.0000
0.0000 0.0000 9.3678
Be W Cl
1 1 2
direct
0.0000 0.0000 0.0000 Be
0.5000 0.5000 0.2264 W
0.0000 0.0000 0.4312 Cl
0.5000 0.5000 0.8541 Cl

---

Entry 3:
CdSbIO2 | Alexandria | PBE-GGA | relaxed; ΔE_f (raw) = 0.307 eV/atom; total magnetic moment = 0.00 μB per cell; DOS(E_F) = 0.99 states/eV per atom; E = -2.994 eV/atom
1.0
4.3808 0.0000 0.0000
0.0000 4.3808 0.0000
0.0000 0.0000 5.7360
Cd Sb I O
1 1 1 2
direct
0.0000 0.0000 0.0000 Cd
0.5000 0.5000 0.5000 Sb
0.0000 0.0000 0.5000 I
0.0000 0.5000 0.0000 O
0.5000 0.0000 0.0000 O

---

Entry 4:
Os2RuBr | Alexandria | PBE-GGA | relaxed; ΔE_f (raw) = 0.724 eV/atom; total magnetic moment = 0.00 μB per cell; DOS(E_F) = 0.73 states/eV per atom; distance to the lowest polymorph of the same formula = 0.0 meV/atom; E = -7.628 eV/atom
1.0
1.4135 0.8161 9.0536
-1.4135 0.8161 9.0536
0.0000 -1.6321 9.0536
Os Ru Br
2 1 1
direct
0.0000 0.0000 0.0000 Os
0.2564 0.2564 0.2564 Os
0.7453 0.7453 0.7453 Ru
0.4940 0.4940 0.4940 Br

---

Entry 5:
BePRu2 | Alexandria | PBE-GGA | relaxed; total magnetic moment = 0.00 μB per cell; DOS(E_F) = 0.48 states/eV per atom; distance to the lowest polymorph of the same formula = 0.0 meV/atom; E = -7.389 eV/atom
1.0
-2.0115 2.0115 2.8407
2.0115 -2.0115 2.8407
2.0115 2.0115 -2.8407
Be P Ru
1 1 2
direct
0.0000 0.0000 0.0000 Be
0.5000 0.5000 0.0000 P
0.2500 0.7500 0.5000 Ru
0.7500 0.2500 0.5000 Ru

---

Entry 6:
LiPmZnCu | Alexandria | PBE-GGA | relaxed; total magnetic moment = 0.00 μB per cell; DOS(E_F) = 1.37 states/eV per atom; E = -3.135 eV/atom
1.0
0.0000 3.3199 3.3199
3.3199 0.0000 3.3199
3.3199 3.3199 0.0000
Li Pm Zn Cu
1 1 1 1
direct
0.0000 0.0000 0.0000 Li
0.2500 0.2500 0.2500 Pm
0.7500 0.7500 0.7500 Zn
0.5000 0.5000 0.5000 Cu

---

Entry 7:
PrNdTh2 | Alexandria | PBE-GGA | relaxed; total magnetic moment = 0.00 μB per cell; DOS(E_F) = 1.46 states/eV per atom; distance to the lowest polymorph of the same formula = 37.9 meV/atom; E = -6.029 eV/atom
1.0
1.8102 1.0451 11.9069
-1.8102 1.0451 11.9069
0.0000 -2.0903 11.9069
Pr Nd Th
1 1 2
direct
0.0000 0.0000 0.0000 Pr
0.8302 0.8302 0.8302 Nd
0.4152 0.4152 0.4152 Th
0.5811 0.5811 0.5811 Th

---

Entry 8:
Rb2SbSBr3 | Alexandria | PBE-GGA | relaxed; ΔE_f (raw) = -1.087 eV/atom; total magnetic moment = 0.00 μB per cell; DOS(E_F) = 0.19 states/eV per atom; E = -3.259 eV/atom
1.0
-2.6089 2.8648 8.7963
2.6089 -2.8648 8.7963
2.6089 2.8648 -8.7963
Rb Sb S Br
2 1 1 3
direct
0.1363 0.1363 0.0000 Rb
0.8637 0.8637 0.0000 Rb
0.5000 0.5000 0.0000 Sb
0.5000 0.0000 0.5000 S
0.0000 0.5000 0.5000 Br
0.3352 0.3352 0.0000 Br
0.6648 0.6648 0.0000 Br